1.
Entry from Alexandria via LeMat-Bulk: Ca2Ce2Sn7 after structural relaxation (PBE).

Properties
* SG: Cmmm
* electronic total energy: -4.152 eV per atom
* magnetization: 1.0 μB/cell

a b c (Å): 7.088 7.088 7.277
angles (deg): 90.00 90.00 100.12
Sites, in units of the cell vectors:
Ca 0.183 0.183 0.000
Ca 0.817 0.817 0.000
Ce 0.291 0.709 0.500
Ce 0.709 0.291 0.500
Sn 0.000 0.000 0.500
Sn 0.000 0.500 0.204
Sn 0.000 0.500 0.796
Sn 0.500 0.000 0.204
Sn 0.500 0.000 0.796
Sn 0.500 0.500 0.196
Sn 0.500 0.500 0.804

***

2.
Entry from Alexandria via LeMat-Bulk: Nd6Te3PS2 after structural relaxation (PBE).

Properties
* SG: C2/m
* E_form (uncorrected): -1694 meV per atom
* magnetization: 0.0 μB/cell

a b c (Å): 7.336 7.336 7.663
angles (deg): 99.20 99.20 119.99
Sites, in units of the cell vectors:
Nd 0.070 0.400 0.209
Nd 0.260 0.260 0.792
Nd 0.400 0.070 0.209
Nd 0.600 0.930 0.791
Nd 0.740 0.740 0.208
Nd 0.930 0.600 0.791
Te 0.167 0.833 0.500
Te 0.500 0.500 0.500
Te 0.833 0.167 0.500
P 0.000 0.000 0.000
S 0.333 0.667 0.000
S 0.667 0.333 0.000

***

3.
Entry from Alexandria via LeMat-Bulk: ZrNiBr2 after structural relaxation (PBE).

Properties
* SG: P2/m
* energy above the lowest structure with this stoichiometry: 774.5 meV/atom
* E_form (uncorrected): 71 meV per atom
* magnetization: 0.0 μB/cell

a b c (Å): 3.434 4.416 5.585
angles (deg): 90.00 92.38 90.00
Sites, in units of the cell vectors:
Zr 0.000 0.000 0.000
Ni 0.500 0.000 0.500
Br 0.256 0.500 0.255
Br 0.744 0.500 0.745

***

4.
Entry from Alexandria via LeMat-Bulk: B2TeO after structural relaxation (PBE).

Properties
* SG: Fm-3m
* energy above the lowest structure with this stoichiometry: 886.6 meV/atom
* E_form (uncorrected): 1608 meV per atom
* magnetization: 0.0 μB/cell

a b c (Å): 4.067 4.067 4.067
angles (deg): 60.00 60.00 60.00
Sites, in units of the cell vectors:
B 0.250 0.250 0.250
B 0.750 0.750 0.750
Te 0.000 0.000 0.000
O 0.500 0.500 0.500

***

5.
Entry from Alexandria via LeMat-Bulk: Fe2AuSe after structural relaxation (PBE).

Properties
* SG: P4/mmm
* E_form (uncorrected): 223 meV per atom
* magnetization: 5.1 μB/cell

a b c (Å): 3.005 3.005 6.569
angles (deg): 90.00 90.00 90.00
Sites, in units of the cell vectors:
Fe 0.000 0.000 0.224
Fe 0.000 0.000 0.776
Au 0.500 0.500 0.500
Se 0.500 0.500 0.000

***

6.
Entry from Alexandria via LeMat-Bulk: CuMo2Pt9 after structural relaxation (PBE).

Properties
* SG: P4/mmm
* electronic total energy: -6.887 eV per atom
* magnetization: 1.6 μB/cell

a b c (Å): 3.959 3.959 11.797
angles (deg): 90.00 90.00 90.00
Sites, in units of the cell vectors:
Cu 0.000 0.000 0.000
Mo 0.000 0.000 0.324
Mo 0.000 0.000 0.676
Pt 0.000 0.500 0.167
Pt 0.000 0.500 0.500
Pt 0.000 0.500 0.833
Pt 0.500 0.000 0.167
Pt 0.500 0.000 0.500
Pt 0.500 0.000 0.833
Pt 0.500 0.500 0.000
Pt 0.500 0.500 0.334
Pt 0.500 0.500 0.666

***

7.
Entry from Alexandria via LeMat-Bulk: K2MgIn3Br6 after structural relaxation (PBE).

Properties
* SG: C2/m
* E_form (uncorrected): -1036 meV per atom
* magnetization: 0.0 μB/cell

a b c (Å): 7.646 7.646 8.913
angles (deg): 100.17 100.17 119.09
Sites, in units of the cell vectors:
K 0.158 0.842 0.000
K 0.842 0.158 0.000
Mg 0.500 0.500 0.000
In 0.200 0.800 0.500
In 0.500 0.500 0.500
In 0.800 0.200 0.500
Br 0.137 0.137 0.781
Br 0.286 0.573 0.187
Br 0.427 0.714 0.813
Br 0.573 0.286 0.187
Br 0.714 0.427 0.813
Br 0.863 0.863 0.219

***

8.
Entry from Alexandria via LeMat-Bulk: Li4Al3Ag2 after structural relaxation (PBE).

Properties
* SG: C2/m
* energy above the lowest structure with this stoichiometry: 0.0 meV/atom
* magnetization: 0.0 μB/cell

a b c (Å): 5.336 5.336 8.017
angles (deg): 121.82 121.82 49.68
Sites, in units of the cell vectors:
Li 0.159 0.159 0.160
Li 0.270 0.270 0.611
Li 0.730 0.730 0.389
Li 0.841 0.841 0.840
Al 0.394 0.394 0.065
Al 0.500 0.500 0.500
Al 0.606 0.606 0.935
Ag 0.062 0.062 0.728
Ag 0.938 0.938 0.272

***

9.
Entry from Alexandria via LeMat-Bulk: BeP3 after structural relaxation (PBE).

Properties
* SG: Pmmn
* energy above the lowest structure with this stoichiometry: 432.1 meV/atom
* magnetization: 0.0 μB/cell

a b c (Å): 4.603 4.907 4.946
angles (deg): 90.00 90.00 90.00
Sites, in units of the cell vectors:
Be 0.250 0.250 0.079
Be 0.750 0.750 0.921
P 0.250 0.025 0.508
P 0.250 0.475 0.508
P 0.250 0.750 0.923
P 0.750 0.250 0.077
P 0.750 0.525 0.492
P 0.750 0.975 0.492

***

10.
Entry from Alexandria via LeMat-Bulk: MgCuH2 after structural relaxation (PBE).

Properties
* SG: I-42d
* electronic total energy: -2.985 eV per atom
* magnetization: 0.0 μB/cell

a b c (Å): 5.405 5.405 5.405
angles (deg): 133.86 133.86 67.31
Sites, in units of the cell vectors:
Mg 0.000 0.000 0.000
Mg 0.750 0.250 0.500
Cu 0.250 0.750 0.500
Cu 0.500 0.500 0.000
H 0.197 0.625 0.072
H 0.375 0.447 0.572
H 0.553 0.125 0.928
H 0.875 0.803 0.428

***

11.
Entry from Alexandria via LeMat-Bulk: Ca2La3Pb3 after structural relaxation (PBE).

Properties
* SG: P6_3/mcm
* electronic total energy: -4.323 eV per atom
* magnetization: 1.9 μB/cell

a b c (Å): 9.559 9.559 6.945
angles (deg): 90.00 90.00 120.00
Sites, in units of the cell vectors:
Ca 0.333 0.667 0.000
Ca 0.333 0.667 0.500
Ca 0.667 0.333 0.000
Ca 0.667 0.333 0.500
La 0.000 0.262 0.250
La 0.000 0.738 0.750
La 0.262 0.000 0.250
La 0.262 0.262 0.750
La 0.738 0.000 0.750
La 0.738 0.738 0.250
Pb 0.000 0.385 0.750
Pb 0.000 0.615 0.250
Pb 0.385 0.000 0.750
Pb 0.385 0.385 0.250
Pb 0.615 0.000 0.250
Pb 0.615 0.615 0.750

***

12.
Entry from Alexandria via LeMat-Bulk: TaTeRu2 after structural relaxation (PBE).

Properties
* SG: I-4m2
* E_form (uncorrected): 144 meV per atom
* magnetization: 0.0 μB/cell

a b c (Å): 5.143 5.143 5.143
angles (deg): 135.34 135.34 65.01
Sites, in units of the cell vectors:
Ta 0.000 0.000 0.000
Te 0.250 0.750 0.500
Ru 0.500 0.500 0.000
Ru 0.750 0.250 0.500

***

Copy entry 5 word for word.
Entry from Alexandria via LeMat-Bulk: Fe2AuSe after structural relaxation (PBE).

Properties
* SG: P4/mmm
* E_form (uncorrected): 223 meV per atom
* magnetization: 5.1 μB/cell

a b c (Å): 3.005 3.005 6.569
angles (deg): 90.00 90.00 90.00
Sites, in units of the cell vectors:
Fe 0.000 0.000 0.224
Fe 0.000 0.000 0.776
Au 0.500 0.500 0.500
Se 0.500 0.500 0.000

***

> magnetization of number 9 (BeP3)?

0.0 μB/cell